No. 1
Entry from Alexandria via LeMat-Bulk: a geometry-optimized Ca5GeAs8 structure (PBE-GGA).

Cell: 7.900 7.900 7.900 Å, 102.65 102.65 124.20°
Positions (direct):
Ca1 0.000 0.000 0.000
Ca2 0.141 0.082 0.575
Ca3 0.434 0.859 0.941
Ca4 0.507 0.566 0.425
Ca5 0.918 0.493 0.059
Ge1 0.750 0.250 0.500
As1 0.187 0.391 0.919
As2 0.354 0.040 0.285
As3 0.472 0.268 0.081
As4 0.609 0.528 0.796
As5 0.732 0.813 0.204
As6 0.755 0.068 0.715
As7 0.932 0.646 0.686
As8 0.960 0.245 0.314

## Properties
The value obtained for the total magnetization is 0.00 Bohr magnetons per cell. The space-group type is I-4 (82). The density is 4.0 g cm⁻³. The value obtained for the formation energy is -0.661 eV/atom.

***

No. 2
Entry from Alexandria via LeMat-Bulk: a geometry-optimized BaBe2Te structure (PBE-GGA).

Cell: 4.594 4.111 5.616 Å, 90.00 107.75 90.00°
Positions (direct):
Ba1 0.000 0.000 0.000
Be1 0.291 0.500 0.643
Be2 0.357 0.000 0.602
Te1 0.703 0.500 0.432

## Properties
The value obtained for the total magnetization is 0.00 Bohr magnetons per cell. The space-group type is Pm (6). The density is 4.7 g cm⁻³. Its energy relative to the elements, uncorrected is 41 meV/atom.

***

No. 3
Entry from Alexandria via LeMat-Bulk: a geometry-optimized K3Rb2Na6 structure (PBE-GGA).

Cell: 28.805 28.805 28.805 Å, 170.59 170.59 13.33°
Positions (direct):
K1 0.000 0.000 0.000
K2 0.191 0.191 0.000
K3 0.809 0.809 0.000
Rb1 0.374 0.374 0.000
Rb2 0.626 0.626 0.000
Na1 0.062 0.562 0.500
Na2 0.264 0.264 0.000
Na3 0.438 0.938 0.500
Na4 0.562 0.062 0.500
Na5 0.736 0.736 0.000
Na6 0.938 0.438 0.500

## Properties
The value obtained for the total magnetization is 0.00 Bohr magnetons per cell. The space-group type is I4/mmm (139). The density is 1.1 g cm⁻³. The value obtained for the formation energy is 0.059 eV/atom.

***

No. 4
Entry from Alexandria via LeMat-Bulk: a geometry-optimized CsSrTcI2 structure (PBE-GGA).

Cell: 5.903 5.903 5.480 Å, 90.00 90.00 90.00°
Positions (direct):
Cs1 0.000 0.000 0.000
Sr1 0.500 0.500 0.000
Tc1 0.500 0.500 0.500
I1 0.000 0.500 0.500
I2 0.500 0.000 0.500

## Properties
The value obtained for the total magnetization is 1.70 Bohr magnetons per cell. The space-group type is P4/mmm (123). The density is 5.0 g cm⁻³. Its energy relative to the elements, uncorrected is -31 meV/atom.

***

No. 5
Entry from Alexandria via LeMat-Bulk: a geometry-optimized Cd2TeRh structure (PBE-GGA).

Cell: 4.262 4.262 4.507 Å, 90.00 90.00 90.00°
Positions (direct):
Cd1 0.000 0.500 0.000
Cd2 0.500 0.000 0.000
Te1 0.000 0.000 0.500
Rh1 0.500 0.500 0.500

## Properties
The value obtained for the total magnetization is 0.00 Bohr magnetons per cell. The space-group type is P4/mmm (123). The density is 9.2 g cm⁻³. Its energy relative to the elements, uncorrected is 44 meV/atom.

***

No. 6
Entry from Alexandria via LeMat-Bulk: a geometry-optimized MgBeAu3 structure (PBE-GGA).

Cell: 4.475 4.475 4.475 Å, 90.00 90.00 90.00°
Positions (direct):
Mg1 0.000 0.000 0.000
Be1 0.500 0.500 0.500
Au1 0.000 0.500 0.500
Au2 0.500 0.000 0.500
Au3 0.500 0.500 0.000

## Properties
The value obtained for the relative energy among the computed polymorphs is 0.175 eV/atom. The value obtained for the total magnetization is 0.00 Bohr magnetons per cell. The space-group type is Pm-3m (221). The density is 11.6 g cm⁻³. The value obtained for the formation energy is -0.139 eV/atom.

***

No. 7
Entry from Alexandria via LeMat-Bulk: a geometry-optimized KTlP2S structure (PBE-GGA).

Cell: 5.271 5.271 5.449 Å, 90.00 90.00 90.00°
Positions (direct):
K1 0.000 0.000 0.000
Tl1 0.500 0.500 0.500
P1 0.000 0.500 0.500
P2 0.500 0.000 0.500
S1 0.500 0.500 0.000

## Properties
The value obtained for the relative energy among the computed polymorphs is 0.000 eV/atom. The value obtained for the total magnetization is 2.41 Bohr magnetons per cell. The space-group type is P4/mmm (123). The density is 3.7 g cm⁻³. Its energy relative to the elements, uncorrected is 626 meV/atom.

***

> What is the total magnetization in the sixth record?

0.00 Bohr magnetons per cell

***

> density of number 6 (MgBeAu3)?

11.6 g cm⁻³